Compound: Cs2PtPb
Source: the Alexandria database
Functional: GGA-PBE
Structure: optimized geometry

Summary:
Formation energy = -0.143 eV/atom
Crystal system = monoclinic
DOS(E_F) = 2.8 states/eV per cell
Total moment = 0.00 μB per formula unit

POSCAR file:
```
Cs2PtPb
1.0
-2.502 0.263 -5.156
4.195 -2.297 -2.153
-3.443 -4.543 4.632
Cs Pt Pb
2 1 1
Direct
0.163 0.172 0.325
0.837 0.846 0.675
0.500 0.009 0.000
0.500 0.509 0.000
```

=====

Compound: TiGa2Ir
Source: the Alexandria database
Functional: GGA-PBE
Structure: optimized geometry

Summary:
Formation energy = -0.412 eV/atom
Crystal system = tetragonal
DOS(E_F) = 3.4 states/eV per cell
Total moment = 0.00 μB per formula unit

POSCAR file:
```
TiGa2Ir
1.0
-1.665 0.123 -2.463
1.333 -2.455 -1.024
-4.780 -3.863 3.039
Ir Ga Ti
1 2 1
Direct
0.500 0.500 0.000
0.000 0.000 0.769
0.000 0.000 0.231
0.500 0.500 0.500
```

=====

Compound: ZrTeO3
Source: the Alexandria database
Functional: GGA-PBE
Structure: optimized geometry

Summary:
Crystal system = cubic
Raw formation energy = -0.566 eV/atom
DOS(E_F) = 3.2 states/eV per cell
Total moment = 1.91 μB per formula unit

POSCAR file:
```
ZrTeO3
1.0
4.192 0.000 0.000
0.000 4.192 0.000
0.000 0.000 4.192
Te O Zr
1 3 1
Direct
0.000 0.000 0.000
0.000 0.500 0.000
0.000 0.000 0.500
0.500 0.000 0.000
0.500 0.500 0.500
```

=====

Compound: Zr4BeBi
Source: the Alexandria database
Functional: GGA-PBE
Structure: optimized geometry

Summary:
Formation energy = -0.131 eV/atom
Crystal system = tetragonal
DOS(E_F) = 13.0 states/eV per cell
Total moment = 0.00 μB per formula unit

POSCAR file:
```
Zr4BeBi
1.0
5.895 0.000 0.000
0.000 6.621 0.000
0.000 0.000 6.621
Zr Be Bi
8 2 2
Direct
0.000 0.182 0.633
0.000 0.818 0.367
0.000 0.367 0.182
0.000 0.633 0.818
0.500 0.818 0.633
0.500 0.182 0.367
0.500 0.633 0.182
0.500 0.367 0.818
0.250 0.500 0.500
0.750 0.500 0.500
0.250 0.000 0.000
0.750 0.000 0.000
```

=====

Compound: Ac2Rh3O10
Source: the Alexandria database
Functional: GGA-PBE
Structure: optimized geometry

Summary:
Crystal system = monoclinic
Raw formation energy = -1.563 eV/atom
DOS(E_F) = 19.3 states/eV per cell
Total moment = 2.43 μB per formula unit

POSCAR file:
```
Ac2Rh3O10
1.0
0.891 5.411 -2.239
4.319 -2.991 -5.510
-9.204 -2.251 -1.270
Ac Rh O
4 6 20
Direct
0.718 0.306 0.436
0.282 0.694 0.564
0.616 0.718 0.231
0.384 0.282 0.769
0.922 0.537 0.844
0.078 0.463 0.156
0.823 0.980 0.647
0.177 0.020 0.353
0.748 0.000 0.000
0.252 0.000 0.000
0.622 0.978 0.776
0.154 0.978 0.776
0.378 0.022 0.224
0.846 0.022 0.224
0.605 0.526 0.694
0.089 0.526 0.694
0.395 0.474 0.306
0.911 0.474 0.306
0.974 0.813 0.949
0.026 0.187 0.051
0.865 0.259 0.730
0.135 0.741 0.270
0.768 0.717 0.536
0.232 0.283 0.464
0.480 0.815 0.960
0.520 0.185 0.040
0.772 0.500 0.000
0.228 0.500 0.000
0.500 0.000 0.500
0.000 0.000 0.500
```

=====

Compound: CaLa2Se
Source: the Alexandria database
Functional: GGA-PBE
Structure: optimized geometry

Summary:
Crystal system = orthorhombic
Raw formation energy = -0.692 eV/atom
DOS(E_F) = 5.2 states/eV per cell
Total moment = 0.00 μB per formula unit

POSCAR file:
```
CaLa2Se
1.0
7.301 0.074 -0.023
4.504 5.747 0.023
-5.453 -3.823 2.995
Ca Se La
1 1 2
Direct
0.250 0.750 0.500
0.750 0.250 0.500
0.948 0.948 0.000
0.552 0.552 0.000
```

=====

Compound: Sr2LaTiGe
Source: the Alexandria database
Functional: GGA-PBE
Structure: optimized geometry

Summary:
Formation energy = 0.381 eV/atom
Crystal system = tetragonal
DOS(E_F) = 11.4 states/eV per cell
Total moment = 4.73 μB per formula unit

POSCAR file:
```
Sr2LaTiGe
1.0
5.956 0.000 0.000
0.000 5.913 0.000
0.000 0.000 5.956
Sr Ge Ti La
2 1 1 1
Direct
0.000 0.000 0.500
0.500 0.000 0.000
0.000 0.000 0.000
0.500 0.500 0.500
0.000 0.500 0.000
```

=====

Compound: HfZr6In5
Source: the Alexandria database
Functional: GGA-PBE
Structure: optimized geometry

Summary:
Formation energy = -0.258 eV/atom
Crystal system = monoclinic
DOS(E_F) = 11.2 states/eV per cell
Total moment = 0.00 μB per formula unit

POSCAR file:
```
HfZr6In5
1.0
-5.238 -0.785 -0.978
1.481 -4.381 -4.413
0.236 -5.484 5.523
Hf Zr In
1 6 5
Direct
0.000 0.000 0.000
0.839 0.751 0.668
0.839 0.249 0.668
0.500 0.246 0.000
0.500 0.754 0.000
0.161 0.751 0.332
0.161 0.249 0.332
0.664 0.500 0.336
0.331 0.000 0.672
0.000 0.500 0.000
0.669 0.000 0.328
0.336 0.500 0.664
```

=====

Compound: ScNb2Rh2
Source: the Alexandria database
Functional: GGA-PBE
Structure: optimized geometry

Summary:
Formation energy = 0.035 eV/atom
Crystal system = tetragonal
DOS(E_F) = 5.5 states/eV per cell
Total moment = 0.00 μB per formula unit

POSCAR file:
```
ScNb2Rh2
1.0
-2.392 -3.011 -2.600
3.167 0.396 -3.371
2.799 -4.824 -1.133
Sc Nb Rh
1 2 2
Direct
0.000 0.000 0.000
0.362 0.362 0.276
0.638 0.638 0.724
0.750 0.250 0.500
0.250 0.750 0.500
```

=====

Compound: Pr4Sm2Cd
Source: the Alexandria database
Functional: GGA-PBE
Structure: optimized geometry

Summary:
Formation energy = 0.026 eV/atom
Crystal system = monoclinic
DOS(E_F) = 8.9 states/eV per cell
Total moment = 0.00 μB per formula unit

POSCAR file:
```
Pr4Sm2Cd
1.0
-1.272 1.828 -2.832
-3.001 -7.465 -3.472
-4.629 3.387 6.557
Pr Sm Cd
4 2 1
Direct
0.918 0.297 0.835
0.082 0.703 0.165
0.629 0.384 0.258
0.371 0.616 0.742
0.783 0.861 0.566
0.217 0.139 0.434
0.000 0.000 0.000
```

=====

Compound: ReNiTe3
Source: the Alexandria database
Functional: GGA-PBE
Structure: optimized geometry

Summary:
Crystal system = cubic
Raw formation energy = 1.206 eV/atom
DOS(E_F) = 4.7 states/eV per cell
Total moment = 2.33 μB per formula unit

POSCAR file:
```
ReNiTe3
1.0
4.909 0.000 0.000
0.000 4.909 0.000
0.000 0.000 4.909
Re Te Ni
1 3 1
Direct
0.500 0.500 0.500
0.000 0.500 0.000
0.000 0.000 0.500
0.500 0.000 0.000
0.000 0.000 0.000
```

=====

Compound: Tm5NiPb4
Source: the Alexandria database
Functional: GGA-PBE
Structure: optimized geometry

Summary:
Formation energy = -0.278 eV/atom
Crystal system = tetragonal
DOS(E_F) = 5.9 states/eV per cell
Total moment = 0.00 μB per formula unit

POSCAR file:
```
Tm5NiPb4
1.0
-2.402 -4.070 2.694
5.188 -4.927 2.675
-0.762 1.715 7.404
Tm Ni Pb
5 1 4
Direct
0.822 0.357 0.000
0.180 0.000 0.643
0.822 0.000 0.357
0.180 0.643 0.000
0.501 0.000 0.000
0.001 0.000 0.000
0.501 0.324 0.676
0.825 0.676 0.676
0.177 0.324 0.324
0.501 0.676 0.324
```

=====

Compound: Pr2ThIn6
Source: the Alexandria database
Functional: GGA-PBE
Structure: optimized geometry

Summary:
Formation energy = -0.412 eV/atom
Crystal system = hexagonal
DOS(E_F) = 3.5 states/eV per cell
Total moment = 0.00 μB per formula unit

POSCAR file:
```
Pr2ThIn6
1.0
3.663 0.000 0.000
0.000 7.628 -4.404
0.000 0.000 8.808
Pr Th In
2 1 6
Direct
0.000 0.333 0.667
0.000 0.667 0.333
0.000 0.000 0.000
0.500 0.334 0.334
0.500 0.666 0.666
0.500 0.000 0.666
0.500 0.666 0.000
0.500 0.334 0.000
0.500 0.000 0.334
```

=====

Compound: Mn2CrPd
Source: the Alexandria database
Functional: GGA-PBE
Structure: optimized geometry

Summary:
Formation energy = 0.695 eV/atom
Crystal system = tetragonal
DOS(E_F) = 10.9 states/eV per cell
Total moment = 0.00 μB per formula unit

POSCAR file:
```
Mn2CrPd
1.0
-3.347 -1.028 0.836
1.275 -1.881 2.791
-1.871 5.252 6.714
Cr Mn Pd
2 4 2
Direct
0.500 0.500 0.000
0.250 0.750 0.500
0.552 0.125 0.250
0.198 0.625 0.250
0.375 0.448 0.750
0.875 0.802 0.750
0.000 0.000 0.000
0.750 0.250 0.500
```

=====

Compound: Pm3SmPb3
Source: the Alexandria database
Functional: GGA-PBE
Structure: optimized geometry

Summary:
Formation energy = -0.395 eV/atom
Crystal system = trigonal
DOS(E_F) = 13.4 states/eV per cell
Total moment = 0.16 μB per formula unit

POSCAR file:
```
Pm3SmPb3
1.0
9.444 0.000 0.000
4.722 8.178 0.000
4.722 2.726 6.360
Pm Sm Pb
6 2 6
Direct
0.353 0.821 0.730
0.821 0.096 0.730
0.096 0.353 0.730
0.904 0.647 0.270
0.179 0.904 0.270
0.647 0.179 0.270
0.332 0.332 0.003
0.668 0.668 0.997
0.303 0.539 0.232
0.926 0.303 0.232
0.539 0.926 0.232
0.461 0.074 0.768
0.074 0.697 0.768
0.697 0.461 0.768
```

=====

Compound: Ac2ErThBi4
Source: the Alexandria database
Functional: GGA-PBE
Structure: optimized geometry

Summary:
Formation energy = -0.844 eV/atom
Crystal system = monoclinic
DOS(E_F) = 1.8 states/eV per cell
Total moment = 0.00 μB per formula unit

POSCAR file:
```
Ac2ErThBi4
1.0
-4.471 -1.249 0.708
2.475 -6.915 3.425
-0.704 5.774 5.745
Ac Er Th Bi
2 1 1 4
Direct
0.500 0.000 0.500
0.000 0.500 0.500
0.000 0.000 0.000
0.500 0.500 0.000
0.500 0.238 0.227
0.500 0.762 0.773
0.000 0.252 0.769
0.000 0.748 0.231
```

=====

Compound: Ba2LaAs
Source: the Alexandria database
Functional: GGA-PBE
Structure: optimized geometry

Summary:
Formation energy = -0.086 eV/atom
Crystal system = cubic
DOS(E_F) = 4.7 states/eV per cell
Total moment = 2.66 μB per formula unit

POSCAR file:
```
Ba2LaAs
1.0
5.820 0.000 0.000
2.910 5.040 0.000
2.910 1.680 4.752
As Ba La
1 2 1
Direct
0.500 0.500 0.500
0.000 0.000 0.000
0.250 0.250 0.250
0.750 0.750 0.750
```

=====

Compound: FeRh2Se
Source: the Alexandria database
Functional: GGA-PBE
Structure: optimized geometry

Summary:
Crystal system = tetragonal
Raw formation energy = 0.560 eV/atom
DOS(E_F) = 7.9 states/eV per cell
Total moment = 0.00 μB per formula unit

POSCAR file:
```
FeRh2Se
1.0
5.399 0.000 0.000
0.000 5.399 0.000
2.700 2.700 5.371
Rh Fe Se
4 2 2
Direct
0.603 0.125 0.250
0.147 0.625 0.250
0.375 0.397 0.750
0.875 0.853 0.750
0.500 0.500 0.000
0.250 0.750 0.500
0.000 0.000 0.000
0.750 0.250 0.500
```

=====

Compound: CaYGa2Sn
Source: the Alexandria database
Functional: GGA-PBE
Structure: optimized geometry

Summary:
Formation energy = 0.398 eV/atom
Crystal system = tetragonal
DOS(E_F) = 3.5 states/eV per cell
Total moment = 0.00 μB per formula unit

POSCAR file:
```
CaYGa2Sn
1.0
5.224 0.000 0.000
0.000 5.553 0.000
0.000 0.000 5.224
Y Ca Sn Ga
1 1 1 2
Direct
0.500 0.500 0.500
0.000 0.000 0.000
0.000 0.500 0.000
0.000 0.000 0.500
0.500 0.000 0.000
```

=====

Compound: Dy3YHo2Bi6
Source: the Alexandria database
Functional: GGA-PBE
Structure: optimized geometry

Summary:
Formation energy = -0.858 eV/atom
Crystal system = monoclinic
DOS(E_F) = 2.0 states/eV per cell
Total moment = 0.00 μB per formula unit

POSCAR file:
```
Dy3YHo2Bi6
1.0
4.472 0.000 0.000
0.000 8.940 0.326
-2.236 -2.568 9.401
Dy Y Ho Bi
3 1 2 6
Direct
0.500 0.500 0.000
0.834 0.167 0.667
0.166 0.833 0.333
0.500 0.000 0.000
0.833 0.667 0.667
0.167 0.333 0.333
0.333 0.916 0.666
0.667 0.582 0.334
0.667 0.084 0.334
0.000 0.251 0.001
0.000 0.749 0.999
0.333 0.418 0.666
```

=====

Compound: AsIrClO
Source: the Alexandria database
Functional: GGA-PBE
Structure: optimized geometry

Summary:
Crystal system = monoclinic
Raw formation energy = -0.245 eV/atom
DOS(E_F) = 6.6 states/eV per cell
Total moment = 0.00 μB per formula unit

POSCAR file:
```
AsIrClO
1.0
-5.287 -3.864 -3.057
0.101 -2.038 2.400
-2.934 4.648 4.070
As Ir Cl O
2 2 2 2
Direct
0.878 0.000 0.064
0.878 0.500 0.564
0.067 0.000 0.827
0.067 0.500 0.327
0.288 0.000 0.596
0.288 0.500 0.096
0.638 0.000 0.992
0.638 0.500 0.492
```

=====

Compound: Li4Zn2Rh
Source: the Alexandria database
Functional: GGA-PBE
Structure: optimized geometry

Summary:
Formation energy = -0.175 eV/atom
Crystal system = monoclinic
DOS(E_F) = 3.2 states/eV per cell
Total moment = 0.00 μB per formula unit

POSCAR file:
```
Li4Zn2Rh
1.0
7.105 0.020 3.985
3.623 3.688 1.883
1.768 0.136 5.208
Li Zn Rh
4 2 1
Direct
0.500 0.500 0.000
0.500 0.000 0.500
0.999 0.000 0.500
0.001 0.500 0.000
0.500 0.501 0.499
0.000 0.500 0.500
0.000 0.000 0.000
```

=====

Compound: LaErAg2Te4
Source: the Alexandria database
Functional: GGA-PBE
Structure: optimized geometry

Summary:
Crystal system = orthorhombic
Raw formation energy = -0.781 eV/atom
DOS(E_F) = 1.0 states/eV per cell
Total moment = 0.00 μB per formula unit

POSCAR file:
```
LaErAg2Te4
1.0
7.585 0.000 0.000
3.792 5.795 0.094
3.792 0.569 5.768
La Er Ag Te
1 1 2 4
Direct
0.000 0.000 0.000
0.500 0.500 0.500
0.162 0.338 0.338
0.838 0.662 0.662
0.456 0.081 0.553
0.090 0.919 0.447
0.910 0.553 0.081
0.544 0.447 0.919
```

=====

Compound: Mg3CrBr
Source: the Alexandria database
Functional: GGA-PBE
Structure: optimized geometry

Summary:
Crystal system = cubic
Raw formation energy = 0.670 eV/atom
DOS(E_F) = 2.9 states/eV per cell
Total moment = 4.30 μB per formula unit

POSCAR file:
```
Mg3CrBr
1.0
5.186 0.000 0.000
0.000 5.186 0.000
0.000 0.000 5.186
Cr Mg Br
1 3 1
Direct
0.500 0.500 0.500
0.000 0.500 0.000
0.000 0.000 0.500
0.500 0.000 0.000
0.000 0.000 0.000
```